VASP calculation (PBE) on crystalline YTl5I8 at its relaxed geometry.

a = 9.0723 Å, b = 9.0723 Å, c = 9.0723 Å
α = 109.89°, β = 109.89°, γ = 108.64°
With the nearest neighbours (Å) after each atom.
Element x y z (fractional)
Y 0.2500 0.7500 0.5000  4 I 3.10
Tl 0.8743 0.2736 0.8743  6 I 3.39-3.71
Tl 0.7264 0.6007 0.6007  6 I 3.39-3.71
Tl 0.3993 0.0000 0.1257  6 I 3.39-3.71
Tl 0.5000 0.5000 0.0000  4 I 3.49
Tl 0.0000 0.1257 0.3993  6 I 3.39-3.71
I 0.0376 0.7522 0.1515  1 Y 3.10, 1 Tl 3.47
I 0.2478 0.3993 0.2854  1 Y 3.10, 1 Tl 3.47
I 0.5916 0.8536 0.3933  4 Tl 3.39-3.71, 1 Y 3.50
I 0.1464 0.5397 0.7380  4 Tl 3.39-3.71, 1 Y 3.50
I 0.8017 0.4084 0.2620  4 Tl 3.39-3.71, 1 Y 3.50
I 0.1139 0.9624 0.7146  1 Y 3.10, 1 Tl 3.47
I 0.6007 0.8861 0.8485  1 Y 3.10, 1 Tl 3.47
I 0.4603 0.1983 0.6067  4 Tl 3.39-3.71, 1 Y 3.50

Results
ΔE_f (raw)   -11.5 eV per formula unit

VASP calculation (PBE) on crystalline LaNd9Mg2 at its relaxed geometry.

a = 5.0948 Å, b = 5.0948 Å, c = 15.3841 Å
α = 90.00°, β = 90.00°, γ = 90.00°
With the nearest neighbours (Å) after each atom.
Element x y z (fractional)
La 0.0000 0.0000 0.0000  12 Nd 3.60-3.68
Nd 0.5000 0.5000 0.0000  4 La 3.60, 8 Nd 3.68
Nd 0.5000 0.5000 0.3382  8 Nd 3.56-3.60, 4 Mg 3.60
Nd 0.5000 0.5000 0.6618  8 Nd 3.56-3.60, 4 Mg 3.60
Nd 0.5000 0.0000 0.1730  2 Mg 3.60, 8 Nd 3.60-3.68, 2 La 3.68
Nd 0.5000 0.0000 0.5000  8 Nd 3.56-3.60, 4 Mg 3.56
Nd 0.5000 0.0000 0.8270  2 Mg 3.60, 8 Nd 3.60-3.68, 2 La 3.68
Nd 0.0000 0.5000 0.1730  2 Mg 3.60, 8 Nd 3.60-3.68, 2 La 3.68
Nd 0.0000 0.5000 0.5000  8 Nd 3.56-3.60, 4 Mg 3.56
Nd 0.0000 0.5000 0.8270  2 Mg 3.60, 8 Nd 3.60-3.68, 2 La 3.68
Mg 0.0000 0.0000 0.3381  12 Nd 3.56-3.60
Mg 0.0000 0.0000 0.6619  12 Nd 3.56-3.60

Results
Energy of formation from the pure elements   8 meV per atom

VASP calculation (PBE) on crystalline Tl3SnCl at its relaxed geometry.

a = 5.7746 Å, b = 5.7746 Å, c = 5.7746 Å
α = 90.00°, β = 90.00°, γ = 90.00°
With the nearest neighbours (Å) after each atom.
Element x y z (fractional)
Tl 0.0000 0.5000 0.0000  2 Cl 2.89
Tl 0.0000 0.0000 0.5000  2 Cl 2.89
Tl 0.5000 0.0000 0.0000  2 Cl 2.89
Sn 0.5000 0.5000 0.5000  12 Tl 4.08
Cl 0.0000 0.0000 0.0000  6 Tl 2.89

Results
ΔE_f (raw)   0.2 eV per formula unit